# TlWI2O | Alexandria via LeMat-Bulk | PBE with a Hubbard U | relaxed
# - total moment (Bohr magnetons per cell) = 2.99
# - DOS(E_F) (states/eV per atom) = 0.19
# - offset from the most stable computed form (eV per atom) = 0.000
data_TlWI2O
_symmetry_space_group_name_H-M 'P 4/m m m'
_symmetry_Int_Tables_number 123
_symmetry_space_group_name_Hall '-P 4 2'
_cell_length_a 6.219
_cell_length_b 6.219
_cell_length_c 3.933
_cell_angle_alpha 90.00
_cell_angle_beta 90.00
_cell_angle_gamma 90.00
loop_
_atom_site_label
_atom_site_type_symbol
_atom_site_fract_x
_atom_site_fract_y
_atom_site_fract_z
Tl1 Tl 0.000 0.000 0.000
W1 W 0.500 0.500 0.500
I1 I 0.000 0.500 0.500
O1 O 0.500 0.500 0.000